## CoSeO5 (GGA+U)

Data for CoSeO5 after structural relaxation.

Results
- crystal system = monoclinic
- SG = C2/c, No. 15
- DOS at the Fermi energy (states/eV per atom) = 0.169
- energy relative to the lowest polymorph listed for this composition (meV per atom) = 0.0
- calculated volume (Å³ per cell) = 185.5

The structure in POSCAR format:
```
CoSeO5
1.0
0.5618 -4.1500 3.4999
5.0351 2.1024 -0.1228
0.8290 3.0206 6.2369
O Se Co
10 2 2
Cartesian
1.4508 -0.7400 6.1746
4.9750 1.7130 3.4394
4.0629 -0.0546 6.1527
2.3629 1.0276 3.4613
2.2254 1.7665 7.0267
3.5763 1.2999 0.9991
5.4295 4.0502 4.7389
2.8495 -0.3268 8.6148
4.2004 -0.7934 2.5872
0.9963 -3.0771 4.8750
2.6322 0.1404 7.0043
3.7936 0.8327 2.6096
0.4145 1.5103 3.1185
0.0000 0.0000 0.0000
```